No. 1
A plane-wave DFT calculation with PBE-GGA was carried out for a relaxed structure of SiPOs2.

```
SiPOs2
1.0
2.9174 0.0000 0.0000
0.0000 4.3934 0.0000
0.0000 0.0000 4.1842
Si P Os
1 1 2
direct
0.0000 0.0000 0.0000
0.5000 0.5000 0.2219
0.0000 0.5000 0.7375
0.5000 0.0000 0.4832
```

Summary:
density = 13.61 g cm⁻³
formation energy from raw total energies = -0.1477 eV per atom
E above lowest polymorph = 17 meV per atom
space group = Pmm2, No. 25
N(E_F) = 2.605 states/eV/cell

---

No. 2
A plane-wave DFT calculation with PBE-GGA was carried out for a relaxed structure of LaCdS2.

```
LaCdS2
1.0
2.1253 1.2271 8.1866
-2.1253 1.2271 8.1866
0.0000 -2.4541 8.1866
La Cd S
1 1 2
direct
0.0000 0.0000 0.0000
0.5000 0.5000 0.5000
0.3949 0.3949 0.3949
0.6051 0.6051 0.6051
```

Summary:
density = 4.09 g cm⁻³
formation energy from raw total energies = -1.2319 eV per atom
space group = R-3m, No. 166
N(E_F) = 1.585 states/eV/cell

---

No. 3
A plane-wave DFT calculation with PBE-GGA was carried out for a relaxed structure of Ca2MgHPd.

```
Ca2MgHPd
1.0
4.8302 0.0000 0.0000
0.0000 4.8302 0.0000
0.0000 0.0000 4.2364
Ca Mg H Pd
2 1 1 1
direct
0.0000 0.5000 0.0000
0.5000 0.0000 0.0000
0.0000 0.0000 0.5000
0.0000 0.0000 0.0000
0.5000 0.5000 0.5000
```

Summary:
density = 3.56 g cm⁻³
E above lowest polymorph = 0 meV per atom
space group = P4/mmm, No. 123
N(E_F) = 2.077 states/eV/cell

---

No. 4
A plane-wave DFT calculation with PBE-GGA was carried out for a relaxed structure of ScZnRe.

```
ScZnRe
1.0
4.6036 0.0000 0.0000
-2.3018 3.9869 0.0000
0.0000 0.0000 2.7138
Sc Zn Re
1 1 1
direct
0.0000 0.0000 0.0000
0.3333 0.6667 0.4008
0.6667 0.3333 0.5886
```

Summary:
density = 9.89 g cm⁻³
E above lowest polymorph = 12 meV per atom
space group = P3m1, No. 156
N(E_F) = 3.164 states/eV/cell

---

No. 5
A plane-wave DFT calculation with PBE-GGA was carried out for a relaxed structure of Al2ZnBr.

```
Al2ZnBr
1.0
1.8774 1.0839 6.9637
-1.8774 1.0839 6.9637
0.0000 -2.1679 6.9637
Al Zn Br
2 1 1
direct
0.2320 0.2320 0.2320
0.7680 0.7680 0.7680
0.5000 0.5000 0.5000
0.0000 0.0000 0.0000
```

Summary:
density = 3.89 g cm⁻³
formation energy from raw total energies = 0.0701 eV per atom
E above lowest polymorph = 7 meV per atom
space group = R-3m, No. 166
N(E_F) = 1.636 states/eV/cell

---

No. 6
A plane-wave DFT calculation with PBE-GGA was carried out for a relaxed structure of Tm2Ga2Ru2C.

```
Tm2Ga2Ru2C
1.0
5.5006 -2.0050 0.0000
5.5006 2.0050 0.0000
-4.2217 0.0000 5.5430
Tm Ga Ru C
2 2 2 1
direct
0.0619 0.0619 0.2876
0.9381 0.9381 0.7124
0.3532 0.3532 0.3169
0.6468 0.6468 0.6831
0.3011 0.3011 0.9079
0.6989 0.6989 0.0921
0.5000 0.5000 0.0000
```

Summary:
density = 9.39 g cm⁻³
space group = C2/m, No. 12
N(E_F) = 3.429 states/eV/cell
calculated total energy = -6.661 eV per atom